The following is a PBE calculation of an optimized crystal structure of ScHg2Ge2, from Alexandria.

It has space group I4/mmm (No. 139), with a = 4.0236 Å, b = 4.0236 Å, c = 14.1038 Å, α = 90.00°, β = 90.00° and γ = 90.00°. Symmetry generates all atoms from Sc at (0.0000, 0.0000, 0.0000), Hg at (0.0000, 0.5000, 0.2500) and Ge at (0.0000, 0.0000, 0.4126).

The distance to the lowest polymorph of the same formula comes out at 0.084 eV per atom.

The following is a PBE calculation of an optimized crystal structure of ScHgGe, from Alexandria.

It has space group R-3m (No. 166, hexagonal axes), with a = 4.5464 Å, b = 4.5464 Å, c = 22.8835 Å, α = 90.00°, β = 90.00° and γ = 120.00°. Symmetry generates all atoms from Sc at (0.0000, 0.0000, 0.0762), Hg at (0.0000, 0.0000, 0.3579) and Ge at (0.0000, 0.0000, 0.1972).

The following is a PBE calculation of an optimized crystal structure of Sc2HgGe2, from Alexandria.

It has space group I4/mmm (No. 139), with a = 3.7580 Å, b = 3.7580 Å, c = 15.2037 Å, α = 90.00°, β = 90.00° and γ = 90.00°. Symmetry generates all atoms from Sc at (0.0000, 0.0000, 0.1096), Hg at (0.0000, 0.0000, 0.5000) and Ge at (0.0000, 0.5000, 0.2500).

The distance to the lowest polymorph of the same formula comes out at 0.221 eV per atom.

The following is a PBE calculation of an optimized crystal structure of ScHgGe2, from Alexandria.

It has space group P4/mmm (No. 123), with a = 4.4003 Å, b = 4.4003 Å, c = 4.0412 Å, α = 90.00°, β = 90.00° and γ = 90.00°. Symmetry generates all atoms from Sc at (0.0000, 0.0000, 0.0000), Hg at (0.5000, 0.5000, 0.0000) and Ge at (0.0000, 0.5000, 0.5000).

| no. | energy of formation from the pure elements (kcal/mol of atoms) |
| --- | --- |
| 1 | 1.20 |
| 2 | -4.15 |
| 3 | -8.08 |
| 4 | -6.25 |